The following is a DFT calculation (PBE) of crystalline In3AsBr at its relaxed geometry.

Values from the calculation:
Formation energy (no corrections): 54 meV/atom

a b c (Å): 5.5502 5.5502 5.5502
angles (deg): 90.00 90.00 90.00
Closest atoms and distances in Å follow each position.
Space group Pm-3m (No. 221)
One atom of each set of equivalent atoms:
In: 0.0000 0.0000 0.5000 (multiplicity 3)  2 As 2.78
As: 0.0000 0.0000 0.0000 (multiplicity 1)  6 In 2.78
Br: 0.5000 0.5000 0.5000 (multiplicity 1)  12 In 3.92